Compound: Li4AcGe
Source: Alexandria
Functional: PBE-GGA
Structure: optimized geometry

Calculated formation energy = -0.055 eV/atom
M_tot = 0.55 μB/cell
Fermi-level density of states = 4.40 states/eV/f.u.
Space-group type = F-43m
Calculated volume = 21.3 A^3/atom

a b c (Å): 5.654 5.654 5.654
angles (deg): 60.00 60.00 60.00
Atoms (fractional coordinates):
Li 0.377 0.377 0.377
Li 0.377 0.377 0.870
Li 0.377 0.870 0.377
Li 0.870 0.377 0.377
Ac 0.000 0.000 0.000
Ge 0.750 0.750 0.750

***

Compound: LiAcGe2
Source: Alexandria
Functional: PBE-GGA
Structure: optimized geometry

Polymorph energy (0 for the lowest one) = 306.5 meV per atom
Calculated formation energy = -0.340 eV/atom
M_tot = 0.00 μB/cell
Fermi-level density of states = 2.26 states/eV/f.u.
Space-group type = Fm-3m
Calculated volume = 24.6 A^3/atom

a b c (Å): 5.181 5.181 5.181
angles (deg): 60.00 60.00 60.00
Atoms (fractional coordinates):
Li 0.000 0.000 0.000
Ac 0.500 0.500 0.500
Ge 0.250 0.250 0.250
Ge 0.750 0.750 0.750

***

Compound: LiAc2Ge
Source: Alexandria
Functional: PBE-GGA
Structure: optimized geometry

Polymorph energy (0 for the lowest one) = 57.4 meV per atom
Calculated formation energy = -0.314 eV/atom
M_tot = 0.00 μB/cell
Fermi-level density of states = 3.83 states/eV/f.u.
Space-group type = P4/mmm
Calculated volume = 30.2 A^3/atom

a b c (Å): 5.334 5.334 4.249
angles (deg): 90.00 90.00 90.00
Atoms (fractional coordinates):
Li 0.000 0.000 0.000
Ac 0.000 0.500 0.500
Ac 0.500 0.000 0.500
Ge 0.500 0.500 0.000

***

Compound: Li3Ac4Ge4
Source: Alexandria
Functional: PBE-GGA
Structure: optimized geometry

Calculated formation energy = -0.267 eV/atom
M_tot = 0.01 μB/cell
Fermi-level density of states = 9.43 states/eV/f.u.
Space-group type = Immm
Calculated volume = 31.5 A^3/atom

a b c (Å): 10.721 10.721 10.721
angles (deg): 155.69 136.72 50.26
Atoms (fractional coordinates):
Li 0.000 0.000 0.000
Li 0.438 0.938 0.500
Li 0.562 0.062 0.500
Ac 0.095 0.338 0.757
Ac 0.418 0.662 0.757
Ac 0.582 0.338 0.243
Ac 0.905 0.662 0.243
Ge 0.197 0.197 0.000
Ge 0.337 0.500 0.837
Ge 0.663 0.500 0.163
Ge 0.803 0.803 0.000

***

Compound: LiAcGe4
Source: Alexandria
Functional: PBE-GGA
Structure: optimized geometry

Polymorph energy (0 for the lowest one) = 0.0 meV per atom
Calculated formation energy = -0.339 eV/atom
M_tot = 0.00 μB/cell
Fermi-level density of states = 4.07 states/eV/f.u.
Space-group type = P6/mmm
Calculated volume = 21.6 A^3/atom

a b c (Å): 4.707 4.707 6.754
angles (deg): 90.00 90.00 120.00
Atoms (fractional coordinates):
Li 0.000 0.000 0.000
Ac 0.000 0.000 0.500
Ge 0.333 0.667 0.193
Ge 0.333 0.667 0.807
Ge 0.667 0.333 0.193
Ge 0.667 0.333 0.807

***

Compound: Li3Ac2Ge2
Source: Alexandria
Functional: PBE-GGA
Structure: optimized geometry

Calculated formation energy = -0.437 eV/atom
M_tot = 0.55 μB/cell
Fermi-level density of states = 2.84 states/eV/f.u.
Space-group type = C2/m
Calculated volume = 24.8 A^3/atom

a b c (Å): 5.986 5.986 6.765
angles (deg): 102.39 102.39 47.51
Atoms (fractional coordinates):
Li 0.000 0.000 0.000
Li 0.119 0.119 0.423
Li 0.881 0.881 0.577
Ac 0.355 0.355 0.234
Ac 0.645 0.645 0.766
Ge 0.345 0.345 0.745
Ge 0.655 0.655 0.255

***

Compound: Li3Ac4Ge5
Source: Alexandria
Functional: PBE-GGA
Structure: optimized geometry

Calculated formation energy = -0.425 eV/atom
M_tot = 0.00 μB/cell
Fermi-level density of states = 6.36 states/eV/f.u.
Space-group type = C2/m
Calculated volume = 27.4 A^3/atom

a b c (Å): 6.739 6.739 12.537
angles (deg): 117.64 117.64 41.61
Atoms (fractional coordinates):
Li 0.000 0.000 0.000
Li 0.436 0.436 0.765
Li 0.564 0.564 0.235
Ac 0.138 0.138 0.494
Ac 0.212 0.212 0.843
Ac 0.788 0.788 0.157
Ac 0.862 0.862 0.506
Ge 0.208 0.208 0.280
Ge 0.442 0.442 0.372
Ge 0.500 0.500 0.000
Ge 0.558 0.558 0.628
Ge 0.792 0.792 0.720

***

Compound: LiAcLuGe
Source: Alexandria
Functional: PBE-GGA
Structure: optimized geometry

Calculated formation energy = -0.275 eV/atom
M_tot = 0.00 μB/cell
Fermi-level density of states = 2.55 states/eV/f.u.
Space-group type = F-43m
Calculated volume = 25.9 A^3/atom

a b c (Å): 5.269 5.269 5.269
angles (deg): 60.00 60.00 60.00
Atoms (fractional coordinates):
Li 0.000 0.000 0.000
Ac 0.750 0.750 0.750
Lu 0.250 0.250 0.250
Ge 0.500 0.500 0.500

***

Compound: LiAcMgGe
Source: Alexandria
Functional: PBE-GGA
Structure: optimized geometry

Calculated formation energy = -0.246 eV/atom
M_tot = 0.00 μB/cell
Fermi-level density of states = 1.57 states/eV/f.u.
Space-group type = F-43m
Calculated volume = 24.8 A^3/atom

a b c (Å): 5.199 5.199 5.199
angles (deg): 60.00 60.00 60.00
Atoms (fractional coordinates):
Li 0.000 0.000 0.000
Ac 0.250 0.250 0.250
Mg 0.750 0.750 0.750
Ge 0.500 0.500 0.500

***

Compound: Li4Ac2MgGe3
Source: Alexandria
Functional: PBE-GGA
Structure: optimized geometry

Calculated formation energy = -0.432 eV/atom
M_tot = 0.28 μB/cell
Fermi-level density of states = 4.18 states/eV/f.u.
Space-group type = P-4m2
Calculated volume = 22.0 A^3/atom

a b c (Å): 4.482 4.482 10.973
angles (deg): 90.00 90.00 90.00
Atoms (fractional coordinates):
Li 0.000 0.000 0.000
Li 0.000 0.500 0.363
Li 0.500 0.000 0.637
Li 0.500 0.500 0.000
Ac 0.000 0.500 0.772
Ac 0.500 0.000 0.228
Mg 0.500 0.500 0.500
Ge 0.000 0.000 0.500
Ge 0.000 0.500 0.132
Ge 0.500 0.000 0.868

***

Compound: LiAc2Mg3Ge4
Source: Alexandria
Functional: PBE-GGA
Structure: optimized geometry

Calculated formation energy = -0.507 eV/atom
M_tot = 0.00 μB/cell
Fermi-level density of states = 1.60 states/eV/f.u.
Space-group type = P-4m2
Calculated volume = 23.5 A^3/atom

a b c (Å): 4.640 4.640 10.926
angles (deg): 90.00 90.00 90.00
Atoms (fractional coordinates):
Li 0.000 0.000 0.000
Ac 0.000 0.500 0.743
Ac 0.500 0.000 0.257
Mg 0.000 0.500 0.376
Mg 0.500 0.000 0.624
Mg 0.500 0.500 0.000
Ge 0.000 0.000 0.500
Ge 0.000 0.500 0.138
Ge 0.500 0.000 0.862
Ge 0.500 0.500 0.500

***

Compound: Li2AcGeN
Source: Alexandria
Functional: PBE-GGA
Structure: optimized geometry

M_tot = 0.00 μB/cell
Fermi-level density of states = 1.84 states/eV/f.u.
Space-group type = Cmcm
E_tot = -4.722 eV per atom
Calculated volume = 18.7 A^3/atom

a b c (Å): 7.168 7.168 7.396
angles (deg): 90.00 90.00 150.44
Atoms (fractional coordinates):
Li 0.141 0.859 0.559
Li 0.141 0.859 0.941
Li 0.859 0.141 0.059
Li 0.859 0.141 0.441
Ac 0.461 0.539 0.750
Ac 0.539 0.461 0.250
Ge 0.255 0.745 0.250
Ge 0.745 0.255 0.750
N 0.000 0.000 0.000
N 0.000 0.000 0.500

***

Compound: LiAcGeN3
Source: Alexandria
Functional: PBE-GGA
Structure: optimized geometry

M_tot = 0.00 μB/cell
Fermi-level density of states = 2.01 states/eV/f.u.
Space-group type = Cmcm
E_tot = -6.317 eV per atom
Calculated volume = 12.9 A^3/atom

a b c (Å): 5.836 5.836 5.542
angles (deg): 90.00 90.00 124.84
Atoms (fractional coordinates):
Li 0.076 0.924 0.750
Li 0.924 0.076 0.250
Ac 0.226 0.774 0.250
Ac 0.774 0.226 0.750
Ge 0.446 0.554 0.750
Ge 0.554 0.446 0.250
N 0.262 0.262 0.000
N 0.262 0.262 0.500
N 0.265 0.735 0.750
N 0.735 0.265 0.250
N 0.738 0.738 0.000
N 0.738 0.738 0.500

***

Compound: LiAcGeN2
Source: Alexandria
Functional: PBE-GGA
Structure: optimized geometry

M_tot = 0.00 μB/cell
Fermi-level density of states = 2.78 states/eV/f.u.
Space-group type = P2/c
E_tot = -5.738 eV per atom
Calculated volume = 16.1 A^3/atom

a b c (Å): 5.781 4.148 6.743
angles (deg): 90.00 95.83 90.00
Atoms (fractional coordinates):
Li 0.000 0.025 0.250
Li 0.000 0.975 0.750
Ac 0.500 0.257 0.750
Ac 0.500 0.743 0.250
Ge 0.000 0.500 0.000
Ge 0.000 0.500 0.500
N 0.256 0.216 0.069
N 0.256 0.784 0.569
N 0.744 0.216 0.431
N 0.744 0.784 0.931

***

Compound: NaLiAcGe
Source: Alexandria
Functional: PBE-GGA
Structure: optimized geometry

Calculated formation energy = -0.204 eV/atom
M_tot = 0.00 μB/cell
Fermi-level density of states = 2.37 states/eV/f.u.
Space-group type = F-43m
Calculated volume = 26.8 A^3/atom

a b c (Å): 5.334 5.334 5.334
angles (deg): 60.00 60.00 60.00
Atoms (fractional coordinates):
Na 0.000 0.000 0.000
Li 0.750 0.750 0.750
Ac 0.500 0.500 0.500
Ge 0.250 0.250 0.250

***

Compound: NaLi3Ac2Ge4
Source: Alexandria
Functional: PBE-GGA
Structure: optimized geometry

Calculated formation energy = -0.423 eV/atom
M_tot = 0.00 μB/cell
Fermi-level density of states = 7.36 states/eV/f.u.
Space-group type = P-4m2
Calculated volume = 22.9 A^3/atom

a b c (Å): 4.348 4.348 12.089
angles (deg): 90.00 90.00 90.00
Atoms (fractional coordinates):
Na 0.000 0.000 0.000
Li 0.000 0.500 0.380
Li 0.500 0.000 0.620
Li 0.500 0.500 0.000
Ac 0.000 0.500 0.727
Ac 0.500 0.000 0.273
Ge 0.000 0.000 0.500
Ge 0.000 0.500 0.165
Ge 0.500 0.000 0.835
Ge 0.500 0.500 0.500

***

Compound: Li2AcNd2Ge2
Source: Alexandria
Functional: PBE-GGA
Structure: optimized geometry

Calculated formation energy = -0.473 eV/atom
M_tot = 0.00 μB/cell
Fermi-level density of states = 4.78 states/eV/f.u.
Space-group type = R-3m
Calculated volume = 25.5 A^3/atom

a b c (Å): 9.919 9.919 9.919
angles (deg): 27.07 27.07 27.07
Atoms (fractional coordinates):
Li 0.089 0.089 0.089
Li 0.911 0.911 0.911
Ac 0.500 0.500 0.500
Nd 0.370 0.370 0.370
Nd 0.630 0.630 0.630
Ge 0.243 0.243 0.243
Ge 0.757 0.757 0.757

***

Compound: Li3Ac2NiGe4
Source: Alexandria
Functional: PBE-GGA
Structure: optimized geometry

Calculated formation energy = -0.545 eV/atom
M_tot = 0.00 μB/cell
Fermi-level density of states = 2.89 states/eV/f.u.
Space-group type = P-4m2
Calculated volume = 20.1 A^3/atom

a b c (Å): 4.411 4.411 10.317
angles (deg): 90.00 90.00 90.00
Atoms (fractional coordinates):
Li 0.000 0.000 0.000
Li 0.000 0.500 0.633
Li 0.500 0.000 0.367
Ac 0.000 0.500 0.242
Ac 0.500 0.000 0.758
Ni 0.500 0.500 0.000
Ge 0.000 0.000 0.500
Ge 0.000 0.500 0.889
Ge 0.500 0.000 0.111
Ge 0.500 0.500 0.500

***

Compound: Li3Ac2Ni12Ge
Source: Alexandria
Functional: PBE-GGA
Structure: optimized geometry

Calculated formation energy = 0.110 eV/atom
M_tot = 0.00 μB/cell
Fermi-level density of states = 20.46 states/eV/f.u.
Space-group type = R-3m
Calculated volume = 15.2 A^3/atom

a b c (Å): 9.349 9.349 9.349
angles (deg): 37.59 37.59 37.59
Atoms (fractional coordinates):
Li 0.000 0.500 0.500
Li 0.500 0.000 0.500
Li 0.500 0.500 0.000
Ac 0.149 0.149 0.149
Ac 0.851 0.851 0.851
Ni 0.083 0.083 0.691
Ni 0.083 0.691 0.083
Ni 0.149 0.567 0.567
Ni 0.309 0.917 0.917
Ni 0.433 0.433 0.851
Ni 0.433 0.851 0.433
Ni 0.567 0.149 0.567
Ni 0.567 0.567 0.149
Ni 0.691 0.083 0.083
Ni 0.851 0.433 0.433
Ni 0.917 0.309 0.917
Ni 0.917 0.917 0.309
Ge 0.500 0.500 0.500

***

Compound: LiAc3Ge2O9
Source: Alexandria
Functional: PBE-GGA
Structure: optimized geometry

M_tot = 0.00 μB/cell
Fermi-level density of states = 0.00 states/eV/f.u.
Space-group type = P-3m1
E_tot = -7.168 eV per atom
Calculated volume = 12.4 A^3/atom

a b c (Å): 5.581 5.581 6.870
angles (deg): 90.00 90.00 120.00
Atoms (fractional coordinates):
Li 0.000 0.000 0.000
Ac 0.000 0.000 0.500
Ac 0.333 0.667 0.157
Ac 0.667 0.333 0.843
Ge 0.333 0.667 0.675
Ge 0.667 0.333 0.325
O 0.000 0.500 0.500
O 0.173 0.345 0.822
O 0.173 0.827 0.822
O 0.345 0.173 0.178
O 0.500 0.000 0.500
O 0.500 0.500 0.500
O 0.655 0.827 0.822
O 0.827 0.173 0.178
O 0.827 0.655 0.178